TiMn6 | PBE | optimized geometry

Lattice parameters (Å, degrees): 7.675 4.576 9.622 90.00 90.00 90.00
Positions (direct):
Ti: 0.247 0.250 0.060
Ti: 0.253 0.750 0.560
Ti: 0.747 0.250 0.440
Ti: 0.753 0.750 0.940
Mn: 0.056 0.750 0.077
Mn: 0.075 0.013 0.306
Mn: 0.075 0.487 0.306
Mn: 0.092 0.250 0.525
Mn: 0.135 0.750 0.851
Mn: 0.187 0.250 0.755
Mn: 0.313 0.750 0.255
Mn: 0.365 0.250 0.351
Mn: 0.408 0.750 0.025
Mn: 0.425 0.513 0.806
Mn: 0.425 0.987 0.806
Mn: 0.444 0.250 0.577
Mn: 0.556 0.750 0.423
Mn: 0.575 0.013 0.194
Mn: 0.575 0.487 0.194
Mn: 0.592 0.250 0.975
Mn: 0.635 0.750 0.649
Mn: 0.687 0.250 0.745
Mn: 0.813 0.750 0.245
Mn: 0.865 0.250 0.149
Mn: 0.908 0.750 0.475
Mn: 0.925 0.513 0.694
Mn: 0.925 0.987 0.694
Mn: 0.944 0.250 0.923

Summary:
E_form, meV/atom: -22
Polymorph energy (0 for the lowest one), eV per atom: 0.000